Entry from Alexandria: an optimized crystal structure of Pr3ThHg2 (GGA-PBE).

The density of states at the Fermi level is 0.97 states/eV per atom. The total magnetization comes out at 0.18 μB per cell. The energy is -4.035 eV per atom. The formation energy from the elements is -29.7 kJ per mole of atoms.

Cell: 3.741 3.741 12.974 Å, 90.00 90.00 90.00°
Space group P4/mmm (No. 123)
One atom of each set of equivalent atoms:
Pr 0.000 0.000 0.000 (multiplicity 1)
Pr 0.000 0.000 0.315 (multiplicity 2)
Th 0.500 0.500 0.500 (multiplicity 1)
Hg 0.500 0.500 0.158 (multiplicity 2)


Entry from Alexandria: an optimized crystal structure of PrTh2Hg (GGA-PBE).

The density of states at the Fermi level is 1.25 states/eV per atom. The total magnetization comes out at 0.00 μB per cell. Its energy above the most stable polymorph in this dataset is 0 meV per atom. The energy is -5.047 eV per atom. The formation energy from the elements is -6.5 kJ per mole of atoms.

Cell: 4.889 4.889 5.046 Å, 90.00 90.00 90.00°
Space group P4/mmm (No. 123)
One atom of each set of equivalent atoms:
Pr 0.000 0.000 0.000 (multiplicity 1)
Th 0.000 0.500 0.500 (multiplicity 2)
Hg 0.500 0.500 0.000 (multiplicity 1)


Entry from Alexandria: an optimized crystal structure of Pr2ThHg (GGA-PBE).

The density of states at the Fermi level is 1.45 states/eV per atom. The total magnetization comes out at 0.00 μB per cell. Its energy above the most stable polymorph in this dataset is 132 meV per atom. The energy is -4.418 eV per atom. The formation energy from the elements is -9.4 kJ per mole of atoms.

Cell: 3.6809 3.6809 33.0542 Å, 90.00 90.00 120.00°
Space group R3m (No. 160, hexagonal axes)
One atom of each set of equivalent atoms:
Pr 0.0000 0.0000 0.0000 (multiplicity 3)
Pr 0.0000 0.0000 0.1788 (multiplicity 3)
Th 0.0000 0.0000 0.7559 (multiplicity 3)
Hg 0.0000 0.0000 0.5895 (multiplicity 3)


Entry from Alexandria: an optimized crystal structure of Pr2ThHg (GGA-PBE).

The density of states at the Fermi level is 0.87 states/eV per atom. The total magnetization comes out at 0.00 μB per cell. Its energy above the most stable polymorph in this dataset is 0 meV per atom. The energy is -4.550 eV per atom. The formation energy from the elements is -22.2 kJ per mole of atoms.

Cell: 3.707 3.707 9.066 Å, 90.00 90.00 90.00°
Space group P4/mmm (No. 123)
One atom of each set of equivalent atoms:
Pr 0.000 0.000 0.231 (multiplicity 2)
Th 0.500 0.500 0.500 (multiplicity 1)
Hg 0.500 0.500 0.000 (multiplicity 1)